Entry 1:
Compound: KNaWO4
Source: Alexandria
Functional: PBE+U
Structure: relaxed

```
KNaWO4
1.0
6.227 0.000 0.000
0.000 6.423 0.000
-2.068 0.000 6.872
K Na W O
2 2 2 8
direct
0.226 0.250 0.447
0.774 0.750 0.553
0.322 0.250 0.983
0.678 0.750 0.017
0.219 0.750 0.163
0.781 0.250 0.837
0.033 0.750 0.317
0.045 0.750 0.914
0.407 0.525 0.209
0.407 0.975 0.209
0.593 0.025 0.791
0.593 0.475 0.791
0.955 0.250 0.086
0.967 0.250 0.683
```

Computed properties:
* ρ: 3.75 g/cm3
* crystal system: monoclinic
* electronic total energy: -6.19 eV/atom
* SG: P2_1/m (11)
* M_tot: 0.000 μB per atom

=====

Entry 2:
Compound: K3NaW2O8
Source: Alexandria
Functional: PBE+U
Structure: relaxed

```
K3NaW2O8
1.0
5.386 -3.078 0.000
5.386 3.078 0.000
-0.040 0.000 15.562
K Na W O
6 2 4 16
direct
0.064 0.936 0.750
0.306 0.353 0.412
0.353 0.306 0.912
0.647 0.694 0.088
0.694 0.647 0.588
0.936 0.064 0.250
0.000 0.000 0.000
0.000 0.000 0.500
0.314 0.364 0.138
0.364 0.314 0.638
0.636 0.686 0.362
0.686 0.636 0.862
0.139 0.702 0.124
0.140 0.230 0.090
0.230 0.140 0.590
0.241 0.603 0.576
0.266 0.397 0.749
0.298 0.861 0.376
0.397 0.266 0.249
0.397 0.759 0.924
0.603 0.241 0.076
0.603 0.734 0.751
0.702 0.139 0.624
0.734 0.603 0.251
0.759 0.397 0.424
0.770 0.860 0.410
0.860 0.770 0.910
0.861 0.298 0.876
```

Computed properties:
* ρ: 4.09 g/cm3
* crystal system: monoclinic
* SG: C2/c (15)
* energy above the most stable polymorph in this dataset: 0.0000 eV per atom
* M_tot: 0.000 μB per atom

=====

Entry 3:
Compound: K4NaW3O12
Source: Alexandria
Functional: PBE+U
Structure: relaxed

```
K4NaW3O12
1.0
-4.094 4.094 4.094
4.094 -4.094 4.094
4.094 4.094 -4.094
K Na W O
4 1 3 12
direct
0.000 0.000 0.500
0.000 0.500 0.000
0.500 0.000 0.000
0.500 0.500 0.500
0.000 0.000 0.000
0.000 0.500 0.500
0.500 0.000 0.500
0.500 0.500 0.000
0.000 0.274 0.274
0.000 0.726 0.726
0.250 0.500 0.750
0.250 0.750 0.500
0.274 0.000 0.274
0.274 0.274 0.000
0.500 0.250 0.750
0.500 0.750 0.250
0.726 0.000 0.726
0.726 0.726 0.000
0.750 0.250 0.500
0.750 0.500 0.250
```

Computed properties:
* ρ: 5.58 g/cm3
* crystal system: cubic
* electronic total energy: -6.22 eV/atom
* SG: Im-3m (229)
* M_tot: 0.050 μB per atom

=====

Entry 4:
Compound: K2NaW2O7
Source: Alexandria
Functional: PBE+U
Structure: relaxed

```
K2NaW2O7
1.0
-1.986 1.986 10.772
1.986 -1.986 10.772
1.986 1.986 -10.772
K Na W O
2 1 2 7
direct
0.191 0.191 0.000
0.809 0.809 0.000
0.000 0.000 0.000
0.407 0.407 0.000
0.593 0.593 0.000
0.089 0.589 0.500
0.320 0.320 0.000
0.411 0.911 0.500
0.500 0.500 0.000
0.589 0.089 0.500
0.680 0.680 0.000
0.911 0.411 0.500
```

Computed properties:
* ρ: 5.68 g/cm3
* crystal system: tetragonal
* electronic total energy: -6.40 eV/atom
* SG: I4/mmm (139)
* M_tot: 0.000 μB per atom

=====

Entry 5:
Compound: KNaW4O12
Source: Alexandria
Functional: PBE+U
Structure: relaxed

```
KNaW4O12
1.0
5.544 0.000 0.000
0.000 5.544 0.000
0.000 0.000 7.849
K Na W O
1 1 4 12
direct
0.000 0.000 0.000
0.500 0.500 0.500
0.000 0.500 0.251
0.000 0.500 0.749
0.500 0.000 0.251
0.500 0.000 0.749
0.000 0.500 0.000
0.000 0.500 0.500
0.252 0.252 0.253
0.252 0.252 0.747
0.252 0.748 0.253
0.252 0.748 0.747
0.500 0.000 0.000
0.500 0.000 0.500
0.748 0.252 0.253
0.748 0.252 0.747
0.748 0.748 0.253
0.748 0.748 0.747
```

Computed properties:
* ρ: 6.81 g/cm3
* crystal system: tetragonal
* electronic total energy: -7.05 eV/atom
* SG: P4/mmm (123)
* M_tot: 0.107 μB per atom

=====

Copy entry 3 word for word.
Compound: K4NaW3O12
Source: Alexandria
Functional: PBE+U
Structure: relaxed

```
K4NaW3O12
1.0
-4.094 4.094 4.094
4.094 -4.094 4.094
4.094 4.094 -4.094
K Na W O
4 1 3 12
direct
0.000 0.000 0.500
0.000 0.500 0.000
0.500 0.000 0.000
0.500 0.500 0.500
0.000 0.000 0.000
0.000 0.500 0.500
0.500 0.000 0.500
0.500 0.500 0.000
0.000 0.274 0.274
0.000 0.726 0.726
0.250 0.500 0.750
0.250 0.750 0.500
0.274 0.000 0.274
0.274 0.274 0.000
0.500 0.250 0.750
0.500 0.750 0.250
0.726 0.000 0.726
0.726 0.726 0.000
0.750 0.250 0.500
0.750 0.500 0.250
```

Computed properties:
* ρ: 5.58 g/cm3
* crystal system: cubic
* electronic total energy: -6.22 eV/atom
* SG: Im-3m (229)
* M_tot: 0.050 μB per atom